# 1
This record from Alexandria via LeMat-Bulk describes H2RuS after structural relaxation. The functional is GGA-PBEsol.

Values from the calculation:
electronic total energy = -79.5 eV for the cell shown

Geometry as CIF:
```
data_H2RuS
_chemical_formula_sum 'H8 Ru4 S4'
_cell_length_a 3.3556
_cell_length_b 3.3556
_cell_length_c 13.0974
_cell_angle_alpha 90.00
_cell_angle_beta 90.00
_cell_angle_gamma 90.00
_symmetry_space_group_name_H-M 'I 41/a m d'
_symmetry_Int_Tables_number 141
loop_
_symmetry_equiv_pos_as_xyz
'x,y,z'
'-x,-y,-z'
'-y+1/4,x+3/4,z+1/4'
'y+1/4,-x+3/4,-z+1/4'
'-x+1/2,-y,z+1/2'
'x+1/2,y,-z+1/2'
'y+1/4,-x+1/4,z+3/4'
'-y+1/4,x+1/4,-z+3/4'
'x,-y,-z'
'-x,y,z'
'-y+1/4,-x+1/4,-z+3/4'
'y+1/4,x+1/4,z+3/4'
'-x+1/2,y,-z+1/2'
'x+1/2,-y,z+1/2'
'y+1/4,x+3/4,-z+1/4'
'-y+1/4,-x+3/4,z+1/4'
'x+1/2,y+1/2,z+1/2'
'-x+1/2,-y+1/2,-z+1/2'
'-y+3/4,x+1/4,z+3/4'
'y+3/4,-x+1/4,-z+3/4'
'-x,-y+1/2,z'
'x,y+1/2,-z'
'y+3/4,-x+3/4,z+1/4'
'-y+3/4,x+3/4,-z+1/4'
'x+1/2,-y+1/2,-z+1/2'
'-x+1/2,y+1/2,z+1/2'
'-y+3/4,-x+3/4,-z+1/4'
'y+3/4,x+3/4,z+1/4'
'-x,y+1/2,-z'
'x,-y+1/2,z'
'y+3/4,x+1/4,-z+3/4'
'-y+3/4,-x+1/4,z+3/4'
loop_
_atom_site_label
_atom_site_type_symbol
_atom_site_fract_x
_atom_site_fract_y
_atom_site_fract_z
H1 H 0.0000 0.0000 0.0000
Ru1 Ru 0.0000 0.2500 0.8750
S1 S 0.0000 0.2500 0.3750
```

# 2
This record from Alexandria via LeMat-Bulk describes SbHRu2 after structural relaxation. The functional is GGA-PBEsol.

Values from the calculation:
electronic total energy = -103.7 eV for the cell shown

Geometry as CIF:
```
data_SbHRu2
_chemical_formula_sum 'Sb4 H4 Ru8'
_cell_length_a 5.9808
_cell_length_b 5.9808
_cell_length_c 5.9808
_cell_angle_alpha 90.00
_cell_angle_beta 90.00
_cell_angle_gamma 90.00
_symmetry_space_group_name_H-M 'F m -3 m'
_symmetry_Int_Tables_number 225
_symmetry_space_group_name_Hall '-F 4 2 3'
loop_
_atom_site_label
_atom_site_type_symbol
_atom_site_fract_x
_atom_site_fract_y
_atom_site_fract_z
Sb1 Sb 0.0000 0.0000 0.0000
H1 H 0.0000 0.0000 0.5000
Ru1 Ru 0.2500 0.2500 0.2500
```

# 3
This record from Alexandria via LeMat-Bulk describes YSbHRu2 after structural relaxation. The functional is GGA-PBEsol.

Values from the calculation:
electronic total energy = -36.1 eV for the cell shown

Geometry as CIF:
```
data_YSbHRu2
_chemical_formula_sum 'Y1 Sb1 H1 Ru2'
_cell_length_a 4.2264
_cell_length_b 4.2264
_cell_length_c 4.0372
_cell_angle_alpha 90.00
_cell_angle_beta 90.00
_cell_angle_gamma 90.00
_symmetry_space_group_name_H-M 'P 4/m m m'
_symmetry_Int_Tables_number 123
_symmetry_space_group_name_Hall '-P 4 2'
loop_
_atom_site_label
_atom_site_type_symbol
_atom_site_fract_x
_atom_site_fract_y
_atom_site_fract_z
Y1 Y 0.0000 0.0000 0.0000
Sb1 Sb 0.5000 0.5000 0.0000
H1 H 0.0000 0.0000 0.5000
Ru1 Ru 0.0000 0.5000 0.5000
```

# 4
This record from Alexandria via LeMat-Bulk describes ScH3Ru after structural relaxation. The functional is GGA-PBEsol.

Values from the calculation:
electronic total energy = -28.8 eV for the cell shown

Geometry as CIF:
```
data_ScH3Ru
_chemical_formula_sum 'Sc1 H3 Ru1'
_cell_length_a 3.4754
_cell_length_b 3.4754
_cell_length_c 3.4754
_cell_angle_alpha 90.00
_cell_angle_beta 90.00
_cell_angle_gamma 90.00
_symmetry_space_group_name_H-M 'P m -3 m'
_symmetry_Int_Tables_number 221
_symmetry_space_group_name_Hall '-P 4 2 3'
loop_
_atom_site_label
_atom_site_type_symbol
_atom_site_fract_x
_atom_site_fract_y
_atom_site_fract_z
Sc1 Sc 0.0000 0.0000 0.0000
H1 H 0.0000 0.5000 0.5000
Ru1 Ru 0.5000 0.5000 0.5000
```

# 5
This record from Alexandria via LeMat-Bulk describes SiH2Ru after structural relaxation. The functional is GGA-PBEsol.

Values from the calculation:
electronic total energy = -84.9 eV for the cell shown

Geometry as CIF:
```
data_SiH2Ru
_chemical_formula_sum 'Si4 H8 Ru4'
_cell_length_a 3.6294
_cell_length_b 3.6294
_cell_length_c 10.4389
_cell_angle_alpha 90.00
_cell_angle_beta 90.00
_cell_angle_gamma 90.00
_symmetry_space_group_name_H-M 'I -4 2 d'
_symmetry_Int_Tables_number 122
_symmetry_space_group_name_Hall 'I -4 2bw'
loop_
_atom_site_label
_atom_site_type_symbol
_atom_site_fract_x
_atom_site_fract_y
_atom_site_fract_z
Si1 Si 0.0000 0.0000 0.0000
H1 H 0.2116 0.2500 0.6250
Ru1 Ru 0.0000 0.0000 0.5000
```

# 6
This record from Alexandria via LeMat-Bulk describes SiHRu2 after structural relaxation. The functional is GGA-PBEsol.

Values from the calculation:
electronic total energy = -115.5 eV for the cell shown

Geometry as CIF:
```
data_SiHRu2
_chemical_formula_sum 'Si4 H4 Ru8'
_cell_length_a 5.5897
_cell_length_b 5.5897
_cell_length_c 5.5897
_cell_angle_alpha 90.00
_cell_angle_beta 90.00
_cell_angle_gamma 90.00
_symmetry_space_group_name_H-M 'F m -3 m'
_symmetry_Int_Tables_number 225
_symmetry_space_group_name_Hall '-F 4 2 3'
loop_
_atom_site_label
_atom_site_type_symbol
_atom_site_fract_x
_atom_site_fract_y
_atom_site_fract_z
Si1 Si 0.0000 0.0000 0.0000
H1 H 0.0000 0.0000 0.5000
Ru1 Ru 0.2500 0.2500 0.2500
```

# 7
This record from Alexandria via LeMat-Bulk describes Sn3HRu after structural relaxation. The functional is GGA-PBEsol.

Values from the calculation:
electronic total energy = -23.4 eV for the cell shown

Geometry as CIF:
```
data_Sn3HRu
_chemical_formula_sum 'Sn3 H1 Ru1'
_cell_length_a 4.4245
_cell_length_b 4.4245
_cell_length_c 4.4245
_cell_angle_alpha 90.00
_cell_angle_beta 90.00
_cell_angle_gamma 90.00
_symmetry_space_group_name_H-M 'P m -3 m'
_symmetry_Int_Tables_number 221
_symmetry_space_group_name_Hall '-P 4 2 3'
loop_
_atom_site_label
_atom_site_type_symbol
_atom_site_fract_x
_atom_site_fract_y
_atom_site_fract_z
Sn1 Sn 0.0000 0.0000 0.5000
H1 H 0.0000 0.0000 0.0000
Ru1 Ru 0.5000 0.5000 0.5000
```

# 8
This record from Alexandria via LeMat-Bulk describes SnH3Ru after structural relaxation. The functional is GGA-PBEsol.

Values from the calculation:
electronic total energy = -18.1 eV for the cell shown

Geometry as CIF:
```
data_SnH3Ru
_chemical_formula_sum 'Sn1 H3 Ru1'
_cell_length_a 3.7584
_cell_length_b 3.7584
_cell_length_c 3.7584
_cell_angle_alpha 90.00
_cell_angle_beta 90.00
_cell_angle_gamma 90.00
_symmetry_space_group_name_H-M 'P m -3 m'
_symmetry_Int_Tables_number 221
_symmetry_space_group_name_Hall '-P 4 2 3'
loop_
_atom_site_label
_atom_site_type_symbol
_atom_site_fract_x
_atom_site_fract_y
_atom_site_fract_z
Sn1 Sn 0.0000 0.0000 0.0000
H1 H 0.0000 0.0000 0.5000
Ru1 Ru 0.5000 0.5000 0.5000
```

# 9
This record from Alexandria via LeMat-Bulk describes SrH3Ru after structural relaxation. The functional is GGA-PBEsol.

Values from the calculation:
electronic total energy = -15.9 eV for the cell shown

Geometry as CIF:
```
data_SrH3Ru
_chemical_formula_sum 'Sr1 H3 Ru1'
_cell_length_a 4.1799
_cell_length_b 4.1799
_cell_length_c 4.1799
_cell_angle_alpha 90.00
_cell_angle_beta 90.00
_cell_angle_gamma 90.00
_symmetry_space_group_name_H-M 'P m -3 m'
_symmetry_Int_Tables_number 221
_symmetry_space_group_name_Hall '-P 4 2 3'
loop_
_atom_site_label
_atom_site_type_symbol
_atom_site_fract_x
_atom_site_fract_y
_atom_site_fract_z
Sr1 Sr 0.0000 0.0000 0.0000
H1 H 0.0000 0.0000 0.5000
Ru1 Ru 0.5000 0.5000 0.5000
```

# 10
This record from Alexandria via LeMat-Bulk describes Sr2H6Ru after structural relaxation. The functional is GGA-PBEsol.

Values from the calculation:
electronic total energy = -156.7 eV for the cell shown

Geometry as CIF:
```
data_Sr2H6Ru
_chemical_formula_sum 'Sr8 H24 Ru4'
_cell_length_a 7.4676
_cell_length_b 7.4676
_cell_length_c 7.4676
_cell_angle_alpha 90.00
_cell_angle_beta 90.00
_cell_angle_gamma 90.00
_symmetry_space_group_name_H-M 'F m -3 m'
_symmetry_Int_Tables_number 225
_symmetry_space_group_name_Hall '-F 4 2 3'
loop_
_atom_site_label
_atom_site_type_symbol
_atom_site_fract_x
_atom_site_fract_y
_atom_site_fract_z
Sr1 Sr 0.2500 0.2500 0.2500
H1 H 0.0000 0.0000 0.2297
Ru1 Ru 0.0000 0.0000 0.0000
```

# 11
This record from Alexandria via LeMat-Bulk describes Sr2H2Ru after structural relaxation. The functional is GGA-PBEsol.

Values from the calculation:
electronic total energy = -38.4 eV for the cell shown

Geometry as CIF:
```
data_Sr2H2Ru
_chemical_formula_sum 'Sr4 H4 Ru2'
_cell_length_a 3.5803
_cell_length_b 3.5803
_cell_length_c 14.3413
_cell_angle_alpha 90.00
_cell_angle_beta 90.00
_cell_angle_gamma 90.00
_symmetry_space_group_name_H-M 'I 4/m m m'
_symmetry_Int_Tables_number 139
_symmetry_space_group_name_Hall '-I 4 2'
loop_
_atom_site_label
_atom_site_type_symbol
_atom_site_fract_x
_atom_site_fract_y
_atom_site_fract_z
Sr1 Sr 0.0000 0.0000 0.1434
H1 H 0.0000 0.5000 0.2500
Ru1 Ru 0.0000 0.0000 0.5000
```

# 12
This record from Alexandria via LeMat-Bulk describes TaHRu3 after structural relaxation. The functional is GGA-PBEsol.

Values from the calculation:
electronic total energy = -47.5 eV for the cell shown

Geometry as CIF:
```
data_TaHRu3
_chemical_formula_sum 'Ta1 H1 Ru3'
_cell_length_a 3.8899
_cell_length_b 3.8899
_cell_length_c 3.8899
_cell_angle_alpha 90.00
_cell_angle_beta 90.00
_cell_angle_gamma 90.00
_symmetry_space_group_name_H-M 'P m -3 m'
_symmetry_Int_Tables_number 221
_symmetry_space_group_name_Hall '-P 4 2 3'
loop_
_atom_site_label
_atom_site_type_symbol
_atom_site_fract_x
_atom_site_fract_y
_atom_site_fract_z
Ta1 Ta 0.0000 0.0000 0.0000
H1 H 0.5000 0.5000 0.5000
Ru1 Ru 0.0000 0.5000 0.5000
```

# 13
This record from Alexandria via LeMat-Bulk describes Tl2TcHRu after structural relaxation. The functional is GGA-PBEsol.

Values from the calculation:
electronic total energy = -26.6 eV for the cell shown

Geometry as CIF:
```
data_Tl2TcHRu
_chemical_formula_sum 'Tl2 Tc1 H1 Ru1'
_cell_length_a 4.6473
_cell_length_b 4.6473
_cell_length_c 3.3859
_cell_angle_alpha 90.00
_cell_angle_beta 90.00
_cell_angle_gamma 90.00
_symmetry_space_group_name_H-M 'P 4/m m m'
_symmetry_Int_Tables_number 123
_symmetry_space_group_name_Hall '-P 4 2'
loop_
_atom_site_label
_atom_site_type_symbol
_atom_site_fract_x
_atom_site_fract_y
_atom_site_fract_z
Tl1 Tl 0.0000 0.5000 0.0000
Tc1 Tc 0.0000 0.0000 0.5000
H1 H 0.0000 0.0000 0.0000
Ru1 Ru 0.5000 0.5000 0.5000
```

# 14
This record from Alexandria via LeMat-Bulk describes TiHRu3 after structural relaxation. The functional is GGA-PBEsol.

Values from the calculation:
electronic total energy = -43.1 eV for the cell shown

Geometry as CIF:
```
data_TiHRu3
_chemical_formula_sum 'Ti1 H1 Ru3'
_cell_length_a 3.8504
_cell_length_b 3.8504
_cell_length_c 3.8504
_cell_angle_alpha 90.00
_cell_angle_beta 90.00
_cell_angle_gamma 90.00
_symmetry_space_group_name_H-M 'P m -3 m'
_symmetry_Int_Tables_number 221
_symmetry_space_group_name_Hall '-P 4 2 3'
loop_
_atom_site_label
_atom_site_type_symbol
_atom_site_fract_x
_atom_site_fract_y
_atom_site_fract_z
Ti1 Ti 0.0000 0.0000 0.0000
H1 H 0.5000 0.5000 0.5000
Ru1 Ru 0.0000 0.5000 0.5000
```

# 15
This record from Alexandria via LeMat-Bulk describes Ti3HRu after structural relaxation. The functional is GGA-PBEsol.

Values from the calculation:
electronic total energy = -39.6 eV for the cell shown

Geometry as CIF:
```
data_Ti3HRu
_chemical_formula_sum 'Ti3 H1 Ru1'
_cell_length_a 3.9736
_cell_length_b 3.9736
_cell_length_c 3.9736
_cell_angle_alpha 90.00
_cell_angle_beta 90.00
_cell_angle_gamma 90.00
_symmetry_space_group_name_H-M 'P m -3 m'
_symmetry_Int_Tables_number 221
_symmetry_space_group_name_Hall '-P 4 2 3'
loop_
_atom_site_label
_atom_site_type_symbol
_atom_site_fract_x
_atom_site_fract_y
_atom_site_fract_z
Ti1 Ti 0.0000 0.0000 0.5000
H1 H 0.0000 0.0000 0.0000
Ru1 Ru 0.5000 0.5000 0.5000
```

# 16
This record from Alexandria via LeMat-Bulk describes YTiH2Ru after structural relaxation. The functional is GGA-PBEsol.

Values from the calculation:
electronic total energy = -30.1 eV for the cell shown

Geometry as CIF:
```
data_YTiH2Ru
_chemical_formula_sum 'Y1 Ti1 H2 Ru1'
_cell_length_a 3.8968
_cell_length_b 3.8968
_cell_length_c 4.5059
_cell_angle_alpha 90.00
_cell_angle_beta 90.00
_cell_angle_gamma 90.00
_symmetry_space_group_name_H-M 'P 4/m m m'
_symmetry_Int_Tables_number 123
_symmetry_space_group_name_Hall '-P 4 2'
loop_
_atom_site_label
_atom_site_type_symbol
_atom_site_fract_x
_atom_site_fract_y
_atom_site_fract_z
Y1 Y 0.0000 0.0000 0.0000
Ti1 Ti 0.5000 0.5000 0.0000
H1 H 0.0000 0.5000 0.5000
Ru1 Ru 0.5000 0.5000 0.5000
```

# 17
This record from Alexandria via LeMat-Bulk describes V3HRu after structural relaxation. The functional is GGA-PBEsol.

Values from the calculation:
electronic total energy = -42.7 eV for the cell shown

Geometry as CIF:
```
data_V3HRu
_chemical_formula_sum 'V3 H1 Ru1'
_cell_length_a 3.7922
_cell_length_b 3.7922
_cell_length_c 3.7922
_cell_angle_alpha 90.00
_cell_angle_beta 90.00
_cell_angle_gamma 90.00
_symmetry_space_group_name_H-M 'P m -3 m'
_symmetry_Int_Tables_number 221
_symmetry_space_group_name_Hall '-P 4 2 3'
loop_
_atom_site_label
_atom_site_type_symbol
_atom_site_fract_x
_atom_site_fract_y
_atom_site_fract_z
V1 V 0.0000 0.0000 0.5000
H1 H 0.0000 0.0000 0.0000
Ru1 Ru 0.5000 0.5000 0.5000
```

# 18
This record from Alexandria via LeMat-Bulk describes H2Ru2W after structural relaxation. The functional is GGA-PBEsol.

Values from the calculation:
electronic total energy = -81.0 eV for the cell shown

Geometry as CIF:
```
data_H2Ru2W
_chemical_formula_sum 'H4 Ru4 W2'
_cell_length_a 2.8405
_cell_length_b 2.8405
_cell_length_c 11.9373
_cell_angle_alpha 90.00
_cell_angle_beta 90.00
_cell_angle_gamma 90.00
_symmetry_space_group_name_H-M 'I 4/m m m'
_symmetry_Int_Tables_number 139
_symmetry_space_group_name_Hall '-I 4 2'
loop_
_atom_site_label
_atom_site_type_symbol
_atom_site_fract_x
_atom_site_fract_y
_atom_site_fract_z
H1 H 0.0000 0.5000 0.2500
Ru1 Ru 0.0000 0.0000 0.1496
W1 W 0.0000 0.0000 0.5000
```

# 19
This record from Alexandria via LeMat-Bulk describes HRu3W after structural relaxation. The functional is GGA-PBEsol.

Values from the calculation:
energy above the most stable polymorph in this dataset = 45 meV/atom

Geometry as CIF:
```
data_HRu3W
_chemical_formula_sum 'H1 Ru3 W1'
_cell_length_a 3.8555
_cell_length_b 3.8555
_cell_length_c 3.8555
_cell_angle_alpha 90.00
_cell_angle_beta 90.00
_cell_angle_gamma 90.00
_symmetry_space_group_name_H-M 'P m -3 m'
_symmetry_Int_Tables_number 221
_symmetry_space_group_name_Hall '-P 4 2 3'
loop_
_atom_site_label
_atom_site_type_symbol
_atom_site_fract_x
_atom_site_fract_y
_atom_site_fract_z
H1 H 0.0000 0.0000 0.0000
Ru1 Ru 0.0000 0.0000 0.5000
W1 W 0.5000 0.5000 0.5000
```

# 20
This record from Alexandria via LeMat-Bulk describes HRu3W after structural relaxation. The functional is GGA-PBEsol.

Values from the calculation:
energy above the most stable polymorph in this dataset = 0 meV/atom

Geometry as CIF:
```
data_HRu3W
_chemical_formula_sum 'H2 Ru6 W2'
_cell_length_a 5.5012
_cell_length_b 5.5012
_cell_length_c 4.3650
_cell_angle_alpha 90.00
_cell_angle_beta 90.00
_cell_angle_gamma 120.00
_symmetry_space_group_name_H-M 'P 63/m m c'
_symmetry_Int_Tables_number 194
_symmetry_space_group_name_Hall '-P 6c 2c'
loop_
_atom_site_label
_atom_site_type_symbol
_atom_site_fract_x
_atom_site_fract_y
_atom_site_fract_z
H1 H 0.0000 0.0000 0.0000
Ru1 Ru 0.1706 0.3412 0.2500
W1 W 0.3333 0.6667 0.7500
```